Arrangement w

# In3AsP (GGA-PBE, optimized geometry)
# Magnetization = 0.0 μB per formula unit
# Crystal system = cubic
# N(E_F) = 3.11 states/eV/f.u.
data_In3AsP
_chemical_formula_sum 'In3 As1 P1'
_cell_length_a 5.321
_cell_length_b 5.321
_cell_length_c 5.321
_cell_angle_alpha 90.00
_cell_angle_beta 90.00
_cell_angle_gamma 90.00
_symmetry_space_group_name_H-M 'P 1'
_symmetry_Int_Tables_number 1
_symmetry_space_group_name_Hall 'P 1'
loop_
_atom_site_label
_atom_site_type_symbol
_atom_site_fract_x
_atom_site_fract_y
_atom_site_fract_z
P1 P 0.500 0.500 0.500
As1 As 0.000 0.000 0.000
In1 In 0.000 0.500 0.000
In2 In 0.000 0.000 0.500
In3 In 0.500 0.000 0.000

Arrangement x

# In3AsP (GGA-PBE, optimized geometry)
# Magnetization = 0.0 μB per formula unit
# Crystal system = cubic
# N(E_F) = 2.94 states/eV/f.u.
data_In3AsP
_chemical_formula_sum 'In3 As1 P1'
_cell_length_a 5.170
_cell_length_b 5.170
_cell_length_c 5.170
_cell_angle_alpha 90.00
_cell_angle_beta 90.00
_cell_angle_gamma 90.00
_symmetry_space_group_name_H-M 'P 1'
_symmetry_Int_Tables_number 1
_symmetry_space_group_name_Hall 'P 1'
loop_
_atom_site_label
_atom_site_type_symbol
_atom_site_fract_x
_atom_site_fract_y
_atom_site_fract_z
P1 P 0.000 0.000 0.000
As1 As 0.500 0.500 0.500
In1 In 0.000 0.500 0.000
In2 In 0.000 0.000 0.500
In3 In 0.500 0.000 0.000

arrangement x has the most favorable energy; the next structure is 218 meV/atom above.